[1]
Ac2ZnCuSe5 after structural relaxation, computed with GGA-PBE.

The structure belongs to space group Cmc2_1 (No. 36); the cell edges are 4.283, 17.570 and 12.688 Å and the angles 90.00°, 90.00° and 90.00°. Symmetry generates all atoms from Ac at (0.000, 0.110, 0.000), Ac at (0.000, 0.138, 0.630), Zn at (0.000, 0.428, 0.761), Cu at (0.000, 0.206, 0.380), Se at (0.000, 0.063, 0.363), Se at (0.000, 0.287, 0.974), Se at (0.000, 0.314, 0.646), Se at (0.000, 0.343, 0.319) and Se at (0.000, 0.491, 0.098).

Its total moment is 0.0 μB per cell.



[2]
Ac2ZrCuSe6 after structural relaxation, computed with GGA-PBE.

The structure belongs to space group P2_1/c (No. 14); the cell edges are 6.901, 7.883 and 11.823 Å and the angles 90.00°, 124.28° and 90.00°. Symmetry generates all atoms from Ac at (0.208, 0.107, 0.249), Zr at (0.500, 0.000, 0.000), Cu at (0.000, 0.000, 0.500), Se at (0.128, 0.177, 0.950), Se at (0.279, 0.691, 0.952) and Se at (0.342, 0.018, 0.735).

Its total moment is 0.0 μB per cell.



[3]
Ac2Cu2Si3 after structural relaxation, computed with GGA-PBE.

The structure belongs to space group Cmcm (No. 63); the cell edges are 4.620, 18.733 and 6.892 Å and the angles 90.00°, 90.00° and 90.00°. Symmetry generates all atoms from Ac at (0.000, 0.052, 0.250), Ac at (0.000, 0.165, 0.750), Cu at (0.000, 0.321, 0.569), Si at (0.000, 0.221, 0.250) and Si at (0.000, 0.442, 0.075).

Its energy above the most stable polymorph in this dataset is 0 meV per atom. Its total moment is 0.0 μB per cell.



[4]
AcCu6Si2 after structural relaxation, computed with GGA-PBE.

The structure belongs to space group P4/mmm (No. 123); the cell edges are 4.261, 4.261 and 7.707 Å and the angles 90.00°, 90.00° and 90.00°. Symmetry generates all atoms from Ac at (0.000, 0.000, 0.000), Cu at (0.000, 0.000, 0.500), Cu at (0.000, 0.500, 0.321), Cu at (0.500, 0.500, 0.500) and Si at (0.500, 0.500, 0.167).

Its total moment is 0.0 μB per cell.



| no. | E_form (uncorrected) (eV per atom) |
| --- | --- |
| 1 | -1.24 |
| 2 | -1.40 |
| 3 | -0.48 |
| 4 | -0.24 |